Below is a geometry-optimized BaTe2Os2 structure, with properties calculated at the PBE level.

ΔE_f (raw) = 0.0820 eV/atom
Crystal system = tetragonal
N(E_F) = 5.74 states/eV per cell
Space-group type = No. 139
Raw total energy = -30.256 eV/f.u.

Lattice parameters (Å, degrees): 6.158 6.158 6.158 133.32 133.32 68.15
Atoms (fractional coordinates):
Ba 0.000 0.000 0.000
Te 0.250 0.750 0.500
Te 0.750 0.250 0.500
Os 0.383 0.383 0.000
Os 0.617 0.617 0.000

Below is a geometry-optimized Li2MgRu structure, with properties calculated at the PBE level.

Crystal system = tetragonal
N(E_F) = 3.17 states/eV per cell
Space-group type = No. 123
ΔE_f = 0.215 eV/atom
Raw total energy = -13.836 eV/f.u.

Lattice parameters (Å, degrees): 2.659 2.659 9.045 90.00 90.00 90.00
Atoms (fractional coordinates):
Li 0.000 0.000 0.222
Li 0.000 0.000 0.778
Mg 0.500 0.500 0.500
Ru 0.500 0.500 0.000

Below is a geometry-optimized ZrMnRu2W structure, with properties calculated at the PBE level.

Crystal system = tetragonal
N(E_F) = 4.69 states/eV per cell
Space-group type = No. 123
ΔE_f = 0.754 eV/atom
Raw total energy = -45.450 eV/f.u.

Lattice parameters (Å, degrees): 4.414 4.414 4.515 90.00 90.00 90.00
Atoms (fractional coordinates):
Zr 0.000 0.000 0.000
Mn 0.500 0.500 0.500
Ru 0.000 0.500 0.500
Ru 0.500 0.000 0.500
W 0.500 0.500 0.000

Below is a geometry-optimized PaNb2Sn structure, with properties calculated at the PBE level.

Distance to the lowest polymorph of the same formula = 0.000 eV per atom
Crystal system = tetragonal
N(E_F) = 5.72 states/eV per cell
Space-group type = No. 123
ΔE_f = -0.118 eV/atom
Raw total energy = -34.112 eV/f.u.

Lattice parameters (Å, degrees): 4.712 4.712 3.727 90.00 90.00 90.00
Atoms (fractional coordinates):
Pa 0.000 0.000 0.000
Nb 0.000 0.500 0.500
Nb 0.500 0.000 0.500
Sn 0.500 0.500 0.000

Below is a geometry-optimized Tb2HgPd structure, with properties calculated at the PBE level.

Distance to the lowest polymorph of the same formula = 0.037 eV per atom
Crystal system = cubic
N(E_F) = 2.59 states/eV per cell
Space-group type = No. 225
ΔE_f = -0.640 eV/atom
Raw total energy = -17.314 eV/f.u.

Lattice parameters (Å, degrees): 5.134 5.134 5.134 60.00 60.00 60.00
Atoms (fractional coordinates):
Tb 0.250 0.250 0.250
Tb 0.750 0.750 0.750
Hg 0.000 0.000 0.000
Pd 0.500 0.500 0.500

Below is a geometry-optimized SmBeSi2Os2 structure, with properties calculated at the PBE level.

ΔE_f (raw) = -0.4440 eV/atom
Crystal system = tetragonal
N(E_F) = 2.25 states/eV per cell
Space-group type = No. 123
Raw total energy = -44.415 eV/f.u.

Lattice parameters (Å, degrees): 4.247 4.247 5.265 90.00 90.00 90.00
Atoms (fractional coordinates):
Sm 0.000 0.000 0.000
Be 0.000 0.000 0.500
Si 0.500 0.500 0.235
Si 0.500 0.500 0.765
Os 0.000 0.500 0.500
Os 0.500 0.000 0.500

Below is a geometry-optimized LaSBr2F structure, with properties calculated at the PBE level.

ΔE_f (raw) = -1.9021 eV/atom
Distance to the lowest polymorph of the same formula = 0.022 eV per atom
Crystal system = triclinic
Space-group type = No. 1
Raw total energy = -23.782 eV/f.u.

Lattice parameters (Å, degrees): 4.699 5.762 5.936 90.31 93.47 90.54
Atoms (fractional coordinates):
La 0.000 0.000 0.000
S 0.832 0.498 0.025
Br 0.360 0.497 0.145
Br 0.972 0.999 0.499
F 0.499 0.996 0.965

Below is a geometry-optimized CeLuAgAu structure, with properties calculated at the PBE level.

Crystal system = cubic
N(E_F) = 8.60 states/eV per cell
Space-group type = No. 216
ΔE_f = -0.452 eV/atom
Raw total energy = -18.392 eV/f.u.

Lattice parameters (Å, degrees): 5.140 5.140 5.140 60.00 60.00 60.00
Atoms (fractional coordinates):
Ce 0.000 0.000 0.000
Lu 0.500 0.500 0.500
Ag 0.750 0.750 0.750
Au 0.250 0.250 0.250

Below is a geometry-optimized ThTl2I8 structure, with properties calculated at the PBE level.

ΔE_f (raw) = -0.7601 eV/atom
Crystal system = monoclinic
Space-group type = No. 12
Raw total energy = -32.914 eV/f.u.

Lattice parameters (Å, degrees): 8.796 8.796 8.189 96.06 96.06 68.52
Atoms (fractional coordinates):
Th 0.000 0.000 0.000
Tl 0.293 0.293 0.028
Tl 0.707 0.707 0.972
I 0.083 0.656 0.820
I 0.126 0.126 0.724
I 0.344 0.917 0.180
I 0.433 0.433 0.362
I 0.567 0.567 0.638
I 0.656 0.083 0.820
I 0.874 0.874 0.276
I 0.917 0.344 0.180

Below is a geometry-optimized As2SCl structure, with properties calculated at the PBE level.

ΔE_f (raw) = 0.5331 eV/atom
Distance to the lowest polymorph of the same formula = 0.346 eV per atom
Crystal system = cubic
N(E_F) = 2.60 states/eV per cell
Space-group type = No. 225
Raw total energy = -13.141 eV/f.u.

Lattice parameters (Å, degrees): 4.715 4.715 4.715 60.00 60.00 60.00
Atoms (fractional coordinates):
As 0.250 0.250 0.250
As 0.750 0.750 0.750
S 0.000 0.000 0.000
Cl 0.500 0.500 0.500

Below is a geometry-optimized Ac2PaS6 structure, with properties calculated at the PBE level.

ΔE_f (raw) = -1.7594 eV/atom
Distance to the lowest polymorph of the same formula = 0.026 eV per atom
Crystal system = monoclinic
N(E_F) = 6.30 states/eV per cell
Space-group type = No. 12
Raw total energy = -58.312 eV/f.u.

Lattice parameters (Å, degrees): 8.251 8.251 4.774 106.65 106.65 50.77
Atoms (fractional coordinates):
Ac 0.167 0.167 0.168
Ac 0.833 0.833 0.832
Pa 0.500 0.500 0.500
S 0.110 0.583 0.346
S 0.284 0.716 0.000
S 0.417 0.890 0.654
S 0.583 0.110 0.346
S 0.716 0.284 0.000
S 0.890 0.417 0.654

Below is a geometry-optimized BH2Pt3 structure, with properties calculated at the PBE level.

Crystal system = monoclinic
N(E_F) = 2.22 states/eV per cell
Space-group type = No. 11
Raw total energy = -31.766 eV/f.u.

Lattice parameters (Å, degrees): 5.925 3.687 6.667 90.00 112.47 90.00
Atoms (fractional coordinates):
B 0.228 0.250 0.185
B 0.772 0.750 0.815
H 0.292 0.750 0.531
H 0.460 0.250 0.867
H 0.540 0.750 0.133
H 0.708 0.250 0.469
Pt 0.025 0.750 0.156
Pt 0.183 0.250 0.483
Pt 0.421 0.750 0.821
Pt 0.579 0.250 0.179
Pt 0.817 0.750 0.517
Pt 0.975 0.250 0.844

> Which formula does entry 2 have?

Li2MgRu

Please write out number 7 again, unchanged.
Below is a geometry-optimized LaSBr2F structure, with properties calculated at the PBE level.

ΔE_f (raw) = -1.9021 eV/atom
Distance to the lowest polymorph of the same formula = 0.022 eV per atom
Crystal system = triclinic
Space-group type = No. 1
Raw total energy = -23.782 eV/f.u.

Lattice parameters (Å, degrees): 4.699 5.762 5.936 90.31 93.47 90.54
Atoms (fractional coordinates):
La 0.000 0.000 0.000
S 0.832 0.498 0.025
Br 0.360 0.497 0.145
Br 0.972 0.999 0.499
F 0.499 0.996 0.965

> raw total energy of number 6 (SmBeSi2Os2)?

-44.415 eV/f.u.